(1)
YSeCl2 after structural relaxation, computed with GGA-PBE.

The structure in CIF format:
```
data_YSeCl2
_chemical_formula_sum 'Y1 Se1 Cl2'
_space_group_name_H-M_alt 'P 1'
_space_group_IT_number 1
_cell_length_a 3.3382
_cell_length_b 3.3382
_cell_length_c 8.6026
_cell_angle_alpha 90.00
_cell_angle_beta 90.00
_cell_angle_gamma 90.00
loop_
_space_group_symop_operation_xyz
'x,y,z'
loop_
_atom_site_label
_atom_site_fract_x
_atom_site_fract_y
_atom_site_fract_z
Y1 0.0000 0.0000 0.0000
Se1 0.0000 0.0000 0.5000
Cl1 0.5000 0.5000 0.1776
Cl2 0.5000 0.5000 0.8224
```

Space group ... No. 123
Total magnetic moment ... 0.00 μB per formula unit

---

(2)
Y2SeCl after structural relaxation, computed with GGA-PBE.

The structure in CIF format:
```
data_Y2SeCl
_chemical_formula_sum 'Y2 Se1 Cl1'
_space_group_name_H-M_alt 'P 1'
_space_group_IT_number 1
_cell_length_a 3.9131
_cell_length_b 3.9131
_cell_length_c 6.1427
_cell_angle_alpha 90.00
_cell_angle_beta 90.00
_cell_angle_gamma 90.00
loop_
_space_group_symop_operation_xyz
'x,y,z'
loop_
_atom_site_label
_atom_site_fract_x
_atom_site_fract_y
_atom_site_fract_z
Y1 0.0000 0.0000 0.0000
Y2 0.5000 0.5000 0.3608
Se1 0.5000 0.5000 0.8621
Cl1 0.0000 0.0000 0.4771
```

Space group ... No. 99
Total magnetic moment ... 0.00 μB per formula unit

---

no.,theoretical density (g/cm3),energy above the lowest structure with this stoichiometry (meV/atom),formation energy from raw total energies (kJ/mol of atoms)
1,4.14,451,-110.72
2,5.16,0,-142.97